This record from Alexandria describes an optimized crystal structure of Ti8MnGe2. The functional is PBE.

Results
energy of formation from the pure elements: -3.57 eV/f.u.
E: -0.284 Ha/atom
space group: Immm (71)
density of states at the Fermi level: 0.988 states/eV per atom

a = 7.482 Å, b = 7.482 Å, c = 7.482 Å
α = 144.83°, β = 132.74°, γ = 60.26°
Sites, in units of the cell vectors:
Ti1 0.129 0.365 0.764
Ti2 0.176 0.176 0.000
Ti3 0.259 0.000 0.259
Ti4 0.400 0.635 0.764
Ti5 0.600 0.365 0.236
Ti6 0.741 0.000 0.741
Ti7 0.824 0.824 0.000
Ti8 0.871 0.635 0.236
Mn1 0.000 0.500 0.500
Ge1 0.314 0.814 0.500
Ge2 0.686 0.186 0.500